# Pd3RuO

A relaxed Pd3RuO crystal (PBE-GGA, Alexandria).

Structure (extended XYZ):
```
5
Lattice="4.201 0.000 0.000 0.000 4.201 0.000 0.000 0.000 4.201" Properties=species:S:1:pos:R:3 pbc="T T T"
Pd 0.000 0.000 2.101
Pd 0.000 2.101 0.000
Pd 2.101 0.000 0.000
Ru 2.101 2.101 2.101
O 0.000 0.000 0.000
```

**Symmetry**: Pm-3m
**Energy above the lowest structure with this stoichiometry**: 0.000 eV per atom
**ΔE_f (raw)**: 0.454 eV/atom

=====

# La2Nd12Y5

A relaxed La2Nd12Y5 crystal (PBE-GGA, Alexandria).

Structure (extended XYZ):
```
19
Lattice="8.020 -4.760 0.000 8.020 4.760 0.000 -1.652 0.000 8.816" Properties=species:S:1:pos:R:3 pbc="T T T"
La 8.020 3.082 0.000
La 8.020 -3.082 0.000
Nd -0.788 0.000 5.921
Nd 4.859 2.378 2.437
Nd 4.937 1.815 6.188
Nd 9.529 2.378 6.379
Nd 6.619 0.000 0.753
Nd 9.451 1.815 2.627
Nd 4.937 -1.815 6.188
Nd 7.770 0.000 8.063
Nd 4.859 -2.378 2.437
Nd 9.451 -1.815 2.627
Nd 9.529 -2.378 6.379
Nd 15.177 0.000 2.895
Y 3.055 0.000 0.374
Y 2.720 0.000 3.873
Y 7.194 0.000 4.408
Y 11.669 0.000 4.943
Y 11.333 0.000 8.442
```

**Symmetry**: C2/m
**Energy above the lowest structure with this stoichiometry**: 0.000 eV per atom
**Formation energy from the elements**: 0.19 eV/atom

=====

# AgAs2IrSe

A relaxed AgAs2IrSe crystal (PBE-GGA, Alexandria).

Structure (extended XYZ):
```
5
Lattice="4.668 0.000 0.000 0.000 4.668 0.000 0.000 0.000 5.556" Properties=species:S:1:pos:R:3 pbc="T T T"
Ag 0.000 0.000 0.000
As 0.000 2.334 2.778
As 2.334 0.000 2.778
Ir 2.334 2.334 2.778
Se 2.334 2.334 0.000
```

**Symmetry**: P4/mmm
**Energy above the lowest structure with this stoichiometry**: 0.000 eV per atom
**ΔE_f (raw)**: 0.569 eV/atom

=====

# CoTc4

A relaxed CoTc4 crystal (PBE-GGA, Alexandria).

Structure (extended XYZ):
```
5
Lattice="4.337 0.000 0.000 0.000 4.337 0.000 0.000 0.000 4.337" Properties=species:S:1:pos:R:3 pbc="T T T"
Co 0.000 0.000 0.000
Tc 0.000 0.000 2.168
Tc 0.000 2.168 0.000
Tc 2.168 0.000 0.000
Tc 2.168 2.168 2.168
```

**Symmetry**: Pm-3m
**Energy above the lowest structure with this stoichiometry**: 1.385 eV per atom
**Formation energy from the elements**: 1.44 eV/atom

=====

# Ti2Ni8As

A relaxed Ti2Ni8As crystal (PBE-GGA, Alexandria).

Structure (extended XYZ):
```
11
Lattice="-2.088 2.603 6.278 2.088 -2.603 6.278 2.088 2.603 -6.278" Properties=species:S:1:pos:R:3 pbc="T T T"
Ti 0.000 0.000 2.403
Ti 0.000 0.000 10.153
Ni 2.088 1.229 -1.752
Ni 0.000 1.284 0.000
Ni 2.088 0.000 3.967
Ni 2.088 1.229 1.752
Ni 0.000 1.374 4.526
Ni 0.000 2.603 2.311
Ni 0.000 3.923 0.000
Ni 0.000 1.374 8.030
As 0.000 0.000 6.278
```

**Symmetry**: Immm
**Formation energy from the elements**: -0.30 eV/atom

=====

# Mg3Tl2

A relaxed Mg3Tl2 crystal (PBE-GGA, Alexandria).

Structure (extended XYZ):
```
5
Lattice="1.710 0.987 12.282 -1.710 0.987 12.282 0.000 -1.975 12.282" Properties=species:S:1:pos:R:3 pbc="T T T"
Mg 0.000 0.000 0.000
Mg 0.000 0.000 7.410
Mg 0.000 0.000 29.437
Tl 0.000 0.000 14.720
Tl 0.000 0.000 22.127
```

**Symmetry**: R-3m
**Energy above the lowest structure with this stoichiometry**: 0.000 eV per atom
**Formation energy from the elements**: -0.01 eV/atom

=====

# AgTeSe

A relaxed AgTeSe crystal (PBE-GGA, Alexandria).

Structure (extended XYZ):
```
6
Lattice="4.047 0.000 0.000 0.000 5.122 0.000 -0.070 0.000 8.249" Properties=species:S:1:pos:R:3 pbc="T T T"
Ag -0.013 0.000 2.181
Ag 3.989 2.561 6.068
Te 2.013 1.691 1.198
Te 1.964 4.252 7.051
Se 1.968 1.010 5.272
Se 2.009 3.571 2.977
```

**Symmetry**: P2_1
**Energy above the lowest structure with this stoichiometry**: 0.024 eV per atom
**ΔE_f (raw)**: 0.001 eV/atom

=====

# Ba2Ga4Sn3Pb

A relaxed Ba2Ga4Sn3Pb crystal (PBE-GGA, Alexandria).

Structure (extended XYZ):
```
10
Lattice="5.175 0.000 0.000 0.000 5.175 0.000 0.000 0.000 10.687" Properties=species:S:1:pos:R:3 pbc="T T T"
Ba 0.000 2.587 2.584
Ba 2.587 0.000 8.103
Ga 0.000 0.000 0.000
Ga 0.000 2.587 6.687
Ga 2.587 0.000 4.000
Ga 2.587 2.587 0.000
Sn 0.000 2.587 9.432
Sn 2.587 0.000 1.254
Sn 2.587 2.587 5.343
Pb 0.000 0.000 5.343
```

**Symmetry**: P-4m2
**Formation energy from the elements**: -0.36 eV/atom

=====

# Be2AlP

A relaxed Be2AlP crystal (PBE-GGA, Alexandria).

Structure (extended XYZ):
```
4
Lattice="2.584 0.000 0.000 0.000 3.279 0.000 0.000 0.000 5.884" Properties=species:S:1:pos:R:3 pbc="T T T"
Be 0.000 0.000 0.000
Be 1.292 1.640 1.204
Al 1.292 1.640 4.385
P 0.000 0.000 2.206
```

**Symmetry**: Pmm2
**Energy above the lowest structure with this stoichiometry**: 0.096 eV per atom
**Formation energy from the elements**: 0.24 eV/atom

=====

# Be3GeF

A relaxed Be3GeF crystal (PBE-GGA, Alexandria).

Structure (extended XYZ):
```
5
Lattice="4.210 0.000 0.000 0.000 4.210 0.000 0.000 0.000 4.210" Properties=species:S:1:pos:R:3 pbc="T T T"
Be 0.000 0.000 2.105
Be 0.000 2.105 0.000
Be 2.105 0.000 0.000
Ge 0.000 0.000 0.000
F 2.105 2.105 2.105
```

**Symmetry**: Pm-3m
**Energy above the lowest structure with this stoichiometry**: 0.261 eV per atom
**ΔE_f (raw)**: 0.397 eV/atom

=====

# NdSm7Dy4

A relaxed NdSm7Dy4 crystal (PBE-GGA, Alexandria).

Structure (extended XYZ):
```
12
Lattice="6.299 0.000 0.000 0.001 7.267 0.000 2.116 0.002 8.713" Properties=species:S:1:pos:R:3 pbc="T T T"
Nd 0.000 0.000 0.000
Sm 0.001 3.634 0.000
Sm 2.107 7.266 2.913
Sm 3.171 5.441 5.791
Sm 5.265 1.836 8.708
Sm 3.152 5.433 0.005
Sm 5.246 1.828 2.922
Sm 6.310 0.003 5.799
Dy 2.091 3.633 2.914
Dy 3.167 1.835 5.803
Dy 5.250 5.434 2.910
Dy 6.326 3.637 5.799
```

**Symmetry**: P-1
**Energy above the lowest structure with this stoichiometry**: 0.000 eV per atom
**Formation energy from the elements**: 0.00 eV/atom

=====

# YBO

A relaxed YBO crystal (PBE-GGA, Alexandria).

Structure (extended XYZ):
```
6
Lattice="-1.634 3.506 3.382 1.634 -3.506 3.382 1.634 3.506 -3.382" Properties=species:S:1:pos:R:3 pbc="T T T"
Y 0.000 0.000 0.000
Y 0.000 3.506 0.000
B 1.634 1.753 1.330
B 0.000 1.753 2.053
O 1.634 1.753 -0.192
O 0.000 1.753 3.575
```

**Symmetry**: Imma
**Energy above the lowest structure with this stoichiometry**: 0.119 eV per atom
**ΔE_f (raw)**: -1.756 eV/atom